1.
## Cd2In5Hg4 (PBE)

Data for an optimized crystal structure of Cd2In5Hg4.

abc: 10.112 10.112 7.299
angles: 88.71 88.71 23.76
Positions (direct):
In (0.126, 0.126, 0.070)
In (0.188, 0.188, 0.477)
In (0.500, 0.500, 0.000)
In (0.812, 0.812, 0.523)
In (0.874, 0.874, 0.930)
Hg (0.259, 0.259, 0.839)
Hg (0.054, 0.054, 0.701)
Hg (0.946, 0.946, 0.299)
Hg (0.741, 0.741, 0.161)
Cd (0.570, 0.570, 0.387)
Cd (0.430, 0.430, 0.613)

- symmetry = C2/m
- distance to the lowest polymorph of the same formula (meV/atom) = 0.0
- M_tot (μB per atom) = 0.000
- E (eV/atom) = -1.48


2.
## CdIn5Hg2 (PBE)

Data for an optimized crystal structure of CdIn5Hg2.

abc: 3.436 9.520 12.822
angles: 90.00 90.00 90.00
Positions (direct):
Hg (0.500, 0.236, 0.132)
Hg (0.500, 0.764, 0.868)
Hg (0.500, 0.264, 0.632)
Hg (0.500, 0.736, 0.368)
In (0.000, 0.000, 0.000)
In (0.500, 0.267, 0.884)
In (0.000, 0.479, 0.248)
In (0.000, 0.500, 0.500)
In (0.500, 0.233, 0.384)
In (0.000, 0.021, 0.748)
In (0.000, 0.979, 0.252)
In (0.000, 0.521, 0.752)
In (0.500, 0.733, 0.116)
In (0.500, 0.767, 0.616)
Cd (0.000, 0.000, 0.500)
Cd (0.000, 0.500, 0.000)

- symmetry = Pbam
- distance to the lowest polymorph of the same formula (meV/atom) = 0.0
- M_tot (μB per atom) = 0.000
- E (eV/atom) = -1.89


3.
## Cd12InHg2 (PBE)

Data for an optimized crystal structure of Cd12InHg2.

abc: 5.910 5.910 21.842
angles: 90.00 90.00 90.00
Positions (direct):
In (0.000, 0.500, 0.000)
In (0.500, 0.000, 0.000)
Cd (0.500, 0.500, 0.792)
Cd (0.251, 0.751, 0.106)
Cd (0.000, 0.000, 0.208)
Cd (0.822, 0.678, 0.437)
Cd (0.249, 0.749, 0.894)
Cd (0.000, 0.000, 0.663)
Cd (0.178, 0.678, 0.563)
Cd (0.678, 0.178, 0.437)
Cd (0.749, 0.751, 0.894)
Cd (0.500, 0.500, 0.337)
Cd (0.178, 0.322, 0.437)
Cd (0.322, 0.178, 0.563)
Cd (0.249, 0.251, 0.106)
Cd (0.751, 0.749, 0.106)
Cd (0.251, 0.249, 0.894)
Cd (0.751, 0.251, 0.894)
Cd (0.678, 0.822, 0.563)
Cd (0.000, 0.000, 0.792)
Cd (0.322, 0.822, 0.437)
Cd (0.000, 0.000, 0.337)
Cd (0.749, 0.249, 0.106)
Cd (0.500, 0.500, 0.663)
Cd (0.500, 0.500, 0.208)
Cd (0.822, 0.322, 0.563)
Hg (0.500, 0.000, 0.730)
Hg (0.500, 0.000, 0.270)
Hg (0.000, 0.500, 0.270)
Hg (0.000, 0.500, 0.730)

- symmetry = P4/nbm
- M_tot (μB per atom) = 0.000
- E (eV/atom) = -0.88


no.,formation enthalpy at 0 K (eV per atom)
1,0.04
2,0.01
3,0.07